Compound: KBa2Zn
Source: the Alexandria database
Functional: SCAN
Structure: PBEsol geometry

```
KBa2Zn
1.0
4.700 0.000 0.000
0.000 6.031 0.127
0.000 -0.122 6.031
Ba Zn K
2 1 1
Direct
0.000 0.000 0.500
0.000 0.500 0.000
0.500 0.500 0.500
0.500 0.000 0.000
```

Computed properties:
The calculation puts the total moment at 1.20 μB/f.u. For the electronic total energy, the calculation gives -25.0769 eV/atom. The calculation puts the formation energy at 0.159 eV/atom. As for the space group: Cmmm. The density of states at the Fermi level comes out at 1.0880 states/eV per atom.